CdOs2Br after structural relaxation. Source: Alexandria via LeMat-Bulk, functional PBE.

Cell lengths 3.112, 3.112, 6.878 Å; angles 90.00, 90.00, 90.00 degrees
Fractional positions:
Cd1 0.000 0.000 0.000
Os1 0.500 0.500 0.273
Os2 0.500 0.500 0.727
Br1 0.000 0.000 0.500

**Uncorrected formation energy**: 1390 meV per atom
**Size of the total moment**: 0.00 μB/cell
**VASP energy**: -0.3581 Ry/atom
**Excess energy over the best structure of this formula in the dataset**: 92.2 kJ per mole of atoms

---

Y2SnGe3Ir4 after structural relaxation. Source: Alexandria via LeMat-Bulk, functional PBE.

Cell lengths 4.227, 4.227, 10.576 Å; angles 90.00, 90.00, 90.00 degrees
Fractional positions:
Y1 0.000 0.500 0.240
Y2 0.500 0.000 0.760
Sn1 0.000 0.000 0.500
Ge1 0.000 0.500 0.872
Ge2 0.500 0.000 0.128
Ge3 0.500 0.500 0.500
Ir1 0.000 0.000 0.000
Ir2 0.000 0.500 0.644
Ir3 0.500 0.000 0.356
Ir4 0.500 0.500 0.000

**ΔH_f (0 K)**: -691 meV/atom
**Size of the total moment**: 0.00 μB/cell
**VASP energy**: -0.5375 Ry/atom

---

Dy4ErSn2 after structural relaxation. Source: Alexandria via LeMat-Bulk, functional PBE.

Cell lengths 9.025, 9.025, 9.025 Å; angles 145.84, 145.84, 49.09 degrees
Fractional positions:
Dy1 0.000 0.500 0.500
Dy2 0.185 0.185 0.000
Dy3 0.500 0.000 0.500
Dy4 0.815 0.815 0.000
Er1 0.000 0.000 0.000
Sn1 0.371 0.371 0.000
Sn2 0.629 0.629 0.000

**ΔH_f (0 K)**: 372 meV/atom
**Size of the total moment**: 0.00 μB/cell
**VASP energy**: -0.2979 Ry/atom

---

Cs3Tl2Hg6 after structural relaxation. Source: Alexandria via LeMat-Bulk, functional PBE.

Cell lengths 17.333, 17.333, 17.333 Å; angles 161.77, 161.77, 25.90 degrees
Fractional positions:
Cs1 0.000 0.000 0.000
Cs2 0.169 0.169 0.000
Cs3 0.831 0.831 0.000
Tl1 0.383 0.383 0.000
Tl2 0.617 0.617 0.000
Hg1 0.080 0.580 0.500
Hg2 0.282 0.282 0.000
Hg3 0.420 0.920 0.500
Hg4 0.580 0.080 0.500
Hg5 0.718 0.718 0.000
Hg6 0.920 0.420 0.500

**ΔH_f (0 K)**: -119 meV/atom
**Size of the total moment**: 0.00 μB/cell
**VASP energy**: -0.0696 Ry/atom

---

SrLi2P after structural relaxation. Source: Alexandria via LeMat-Bulk, functional PBE.

Cell lengths 6.021, 6.021, 6.021 Å; angles 41.11, 41.11, 41.11 degrees
Fractional positions:
Sr1 0.000 0.000 0.000
Li1 0.196 0.196 0.196
Li2 0.804 0.804 0.804
P1 0.500 0.500 0.500

**ΔH_f (0 K)**: -546 meV/atom
**Size of the total moment**: 0.00 μB/cell
**VASP energy**: -0.2407 Ry/atom

---

RbPd3S after structural relaxation. Source: Alexandria via LeMat-Bulk, functional PBE.

Cell lengths 5.119, 5.119, 5.119 Å; angles 90.00, 90.00, 90.00 degrees
Fractional positions:
Rb1 0.000 0.000 0.000
Pd1 0.000 0.000 0.500
Pd2 0.000 0.500 0.000
Pd3 0.500 0.000 0.000
S1 0.500 0.500 0.500

**Uncorrected formation energy**: 1638 meV per atom
**Size of the total moment**: 1.03 μB/cell
**VASP energy**: -0.1835 Ry/atom
**Excess energy over the best structure of this formula in the dataset**: 173.5 kJ per mole of atoms